POs2Pb | Alexandria via LeMat-Bulk | PBE-GGA | optimized geometry; offset from the most stable computed form = 91.3 meV/atom; Fermi-level density of states = 1.38 states/eV/cell; symmetry = C2/m; calculated formation energy = 0.394 eV per atom
1.0
1.495 3.472 0.012
-1.495 3.472 0.012
0.000 1.423 6.846
P Os Pb
1 2 1
Direct
0.000 0.000 0.500 P
0.256 0.256 0.666 Os
0.744 0.744 0.334 Os
0.500 0.500 0.000 Pb